Below is a geometry-optimized LaY2Ir structure, with properties calculated at the PBE-GGA level.

Its volume is 220 Å³ per cell. The energy relative to the lowest polymorph listed for this composition is 126.4 meV per atom. As for the energy relative to the elements: -0.41 eV per atom.

The structure belongs to space group Imm2 (No. 44); the cell edges are 3.726, 5.385 and 10.973 Å and the angles 90.00°, 90.00° and 90.00°. The asymmetric unit holds La at (0.000, 0.000, 0.000), Y at (0.000, 0.000, 0.609), Y at (0.000, 0.500, 0.802) and Ir at (0.000, 0.500, 0.300).

***

Below is a geometry-optimized LaY2Ir2 structure, with properties calculated at the PBE-GGA level.

Its volume is 240 Å³ per cell. The energy relative to the lowest polymorph listed for this composition is 0.0 meV per atom. As for the energy relative to the elements: -0.64 eV per atom.

The structure belongs to space group P4/mbm (No. 127); the cell edges are 7.700, 7.700 and 4.042 Å and the angles 90.00°, 90.00° and 90.00°. The asymmetric unit holds La at (0.000, 0.000, 0.000), Y at (0.155, 0.345, 0.500) and Ir at (0.141, 0.641, 0.000).

***

Below is a geometry-optimized La3Y2Ir2 structure, with properties calculated at the PBE-GGA level.

Its volume is 407 Å³ per cell. As for the energy relative to the elements: -0.54 eV per atom.

The structure belongs to space group C2/m (No. 12); the cell edges are 12.457, 3.983 and 9.089 Å and the angles 90.00°, 115.41° and 90.00°. The asymmetric unit holds La at (0.000, 0.000, 0.000), La at (0.114, 0.000, 0.426), Y at (0.176, 0.500, 0.815) and Ir at (0.184, 0.500, 0.242).

***

Below is a geometry-optimized La3YIr structure, with properties calculated at the PBE-GGA level.

Its volume is 183 Å³ per cell. The energy relative to the lowest polymorph listed for this composition is 0.0 meV per atom. As for the energy relative to the elements: -0.22 eV per atom.

The structure belongs to space group Pm-3m (No. 221); the cell edges are 5.677, 5.677 and 5.677 Å and the angles 90.00°, 90.00° and 90.00°. The asymmetric unit holds La at (0.000, 0.000, 0.500), Y at (0.500, 0.500, 0.500) and Ir at (0.000, 0.000, 0.000).

***

Below is a geometry-optimized LaY2Ir structure, with properties calculated at the PBE-GGA level.

Its volume is 405 Å³ per cell. The energy relative to the lowest polymorph listed for this composition is 467.4 meV per atom. As for the energy relative to the elements: -0.07 eV per atom.

The structure belongs to space group F-43m (No. 216); the cell edges are 7.396, 7.396 and 7.396 Å and the angles 90.00°, 90.00° and 90.00°. The asymmetric unit holds La at (0.000, 0.000, 0.000), Y at (0.000, 0.000, 0.500), Y at (0.250, 0.250, 0.250) and Ir at (0.250, 0.250, 0.750).

***

Below is a geometry-optimized LaY2Ir structure, with properties calculated at the PBE-GGA level.

Its volume is 389 Å³ per cell. The energy relative to the lowest polymorph listed for this composition is 427.1 meV per atom. As for the energy relative to the elements: -0.11 eV per atom.

The structure belongs to space group Fm-3m (No. 225); the cell edges are 7.302, 7.302 and 7.302 Å and the angles 90.00°, 90.00° and 90.00°. The asymmetric unit holds La at (0.000, 0.000, 0.000), Y at (0.250, 0.250, 0.250) and Ir at (0.000, 0.000, 0.500).

***

Below is a geometry-optimized LaY2Ir structure, with properties calculated at the PBE-GGA level.

Its volume is 226 Å³ per cell. The energy relative to the lowest polymorph listed for this composition is 151.6 meV per atom. As for the energy relative to the elements: -0.39 eV per atom.

The structure belongs to space group Immm (No. 71); the cell edges are 3.639, 5.395 and 11.518 Å and the angles 90.00°, 90.00° and 90.00°. The asymmetric unit holds La at (0.000, 0.000, 0.000), Y at (0.000, 0.500, 0.192) and Ir at (0.000, 0.000, 0.500).

***

Below is a geometry-optimized LaY2Ir9 structure, with properties calculated at the PBE-GGA level.

Its volume is 653 Å³ per cell. As for the energy relative to the elements: -0.58 eV per atom.

The structure belongs to space group R-3m (No. 166, hexagonal axes); the cell edges are 5.3573, 5.3573 and 26.2913 Å and the angles 90.00°, 90.00° and 120.00°. The asymmetric unit holds La at (0.0000, 0.0000, 0.0000), Y at (0.0000, 0.0000, 0.1397), Ir at (0.0000, 0.0000, 0.3328), Ir at (0.0000, 0.0000, 0.5000) and Ir at (0.0007, 0.5004, 0.0826).